No. 1
VASP calculation (PBE with a Hubbard U) on crystalline TaCrRuO6 at its relaxed geometry.

Structure (POSCAR):
```
TaCrRuO6
1.0
-1.554 0.990 4.739
-1.702 -4.133 -2.422
6.775 -4.663 3.195
Cr Ta O Ru
2 2 12 2
direct
0.333 0.667 0.250 Cr
0.667 0.333 0.750 Cr
0.333 0.667 0.750 Ta
0.667 0.333 0.250 Ta
0.672 0.667 0.128 O
0.005 0.672 0.872 O
0.667 0.995 0.872 O
0.328 0.995 0.628 O
0.333 0.005 0.128 O
0.333 0.328 0.372 O
0.995 0.328 0.128 O
0.005 0.333 0.628 O
0.672 0.005 0.372 O
0.995 0.667 0.372 O
0.328 0.333 0.872 O
0.667 0.672 0.628 O
0.000 0.000 0.500 Ru
0.000 0.000 0.000 Ru
```

Results
- Volume: 197 Å³ per cell
- Space-group type: No. 163
- Density of states at the Fermi level: 11.26 states/eV/cell

=====

No. 2
VASP calculation (PBE with a Hubbard U) on crystalline CrTeRuO6 at its relaxed geometry.

Structure (POSCAR):
```
CrTeRuO6
1.0
5.132 0.000 0.000
-2.566 4.444 0.000
0.000 0.000 8.732
O Ru Cr Te
12 2 2 2
direct
0.998 0.339 0.129 O
0.659 0.998 0.871 O
0.002 0.341 0.629 O
0.339 0.998 0.629 O
0.339 0.341 0.871 O
0.661 0.659 0.129 O
0.998 0.659 0.371 O
0.659 0.661 0.629 O
0.661 0.002 0.371 O
0.341 0.339 0.371 O
0.341 0.002 0.129 O
0.002 0.661 0.871 O
0.000 0.000 0.500 Ru
0.000 0.000 0.000 Ru
0.333 0.667 0.250 Cr
0.667 0.333 0.750 Cr
0.333 0.667 0.750 Te
0.667 0.333 0.250 Te
```

Results
- Volume: 199 Å³ per cell
- Space-group type: No. 163
- Density of states at the Fermi level: 4.75 states/eV/cell

=====

No. 3
VASP calculation (PBE with a Hubbard U) on crystalline CrTeRu2O at its relaxed geometry.

Structure (POSCAR):
```
CrTeRu2O
1.0
-3.510 -0.787 -3.105
0.160 -3.422 0.687
-3.196 0.548 3.474
Ru Te O Cr
2 1 1 1
direct
0.000 0.000 0.500 Ru
0.500 0.000 0.000 Ru
0.500 0.500 0.500 Te
0.000 0.500 0.000 O
0.000 0.000 0.000 Cr
```

Results
- Volume: 79 Å³ per cell
- Space-group type: No. 123
- Density of states at the Fermi level: 3.98 states/eV/cell

=====

No. 4
VASP calculation (PBE with a Hubbard U) on crystalline ThCr2RuO8 at its relaxed geometry.

Structure (POSCAR):
```
ThCr2RuO8
1.0
4.737 0.007 -0.003
0.052 4.731 -0.005
0.004 0.007 6.510
O Th Cr Ru
8 1 2 1
direct
0.673 0.675 0.500 O
0.703 0.705 0.000 O
0.797 0.205 0.212 O
0.327 0.325 0.500 O
0.203 0.795 0.788 O
0.797 0.205 0.788 O
0.297 0.295 0.000 O
0.203 0.795 0.212 O
0.000 0.000 0.500 Th
0.500 0.500 0.758 Cr
0.500 0.500 0.242 Cr
0.000 0.000 0.000 Ru
```

Results
- Volume: 146 Å³ per cell
- Space-group type: No. 10
- Density of states at the Fermi level: 4.19 states/eV/cell

=====

No. 5
VASP calculation (PBE with a Hubbard U) on crystalline Tl2Cr2RuO6 at its relaxed geometry.

Structure (POSCAR):
```
Tl2Cr2RuO6
1.0
5.346 -0.027 0.061
-2.665 4.634 0.061
-0.935 -1.608 6.475
Cr O Tl Ru
2 6 2 1
direct
0.667 0.333 0.500 Cr
0.333 0.667 0.500 Cr
0.279 0.279 0.345 O
0.383 0.047 0.656 O
0.953 0.617 0.344 O
0.721 0.721 0.655 O
0.617 0.953 0.344 O
0.047 0.383 0.656 O
0.166 0.834 0.000 Tl
0.834 0.166 0.000 Tl
0.000 0.000 0.500 Ru
```

Results
- Volume: 161 Å³ per cell
- Space-group type: No. 12
- Density of states at the Fermi level: 5.58 states/eV/cell

=====

No. 6
VASP calculation (PBE with a Hubbard U) on crystalline TlCr2RuO8 at its relaxed geometry.

Structure (POSCAR):
```
TlCr2RuO8
1.0
-1.656 1.609 5.013
-0.571 -5.271 -1.535
6.993 -1.577 2.816
O Cr Tl Ru
8 2 1 1
direct
0.166 0.331 0.848 O
0.669 0.834 0.848 O
0.166 0.834 0.848 O
0.333 0.667 0.564 O
0.834 0.669 0.152 O
0.667 0.333 0.436 O
0.331 0.166 0.152 O
0.834 0.166 0.152 O
0.333 0.667 0.777 Cr
0.667 0.333 0.223 Cr
0.000 0.000 0.500 Tl
0.000 0.000 0.000 Ru
```

Results
- Volume: 203 Å³ per cell
- Space-group type: No. 164
- Density of states at the Fermi level: 3.83 states/eV/cell

=====

No. 7
VASP calculation (PBE with a Hubbard U) on crystalline UCrRuO6 at its relaxed geometry.

Structure (POSCAR):
```
UCrRuO6
1.0
-5.050 0.433 -1.473
1.202 -1.884 4.782
-0.257 8.133 3.269
O Cr Ru U
12 2 2 2
direct
0.335 0.010 0.628 O
0.675 0.665 0.628 O
0.990 0.665 0.872 O
0.325 0.990 0.128 O
0.990 0.325 0.628 O
0.675 0.010 0.872 O
0.325 0.335 0.372 O
0.010 0.335 0.128 O
0.665 0.990 0.372 O
0.665 0.675 0.128 O
0.335 0.325 0.872 O
0.010 0.675 0.372 O
0.333 0.667 0.250 Cr
0.667 0.333 0.750 Cr
0.000 0.000 0.000 Ru
0.000 0.000 0.500 Ru
0.333 0.667 0.750 U
0.667 0.333 0.250 U
```

Results
- Volume: 212 Å³ per cell
- Space-group type: No. 163
- Density of states at the Fermi level: 11.08 states/eV/cell

=====

No. 8
VASP calculation (PBE with a Hubbard U) on crystalline VCrRuO6 at its relaxed geometry.

Structure (POSCAR):
```
VCrRuO6
1.0
4.947 0.000 0.000
-2.474 4.285 0.000
0.000 0.000 8.663
Ru O V Cr
2 12 2 2
direct
0.000 0.000 0.500 Ru
0.000 0.000 0.000 Ru
0.659 0.673 0.129 O
0.985 0.327 0.629 O
0.327 0.985 0.129 O
0.327 0.341 0.371 O
0.985 0.659 0.871 O
0.673 0.015 0.871 O
0.673 0.659 0.629 O
0.015 0.673 0.371 O
0.659 0.985 0.371 O
0.341 0.015 0.629 O
0.015 0.341 0.129 O
0.341 0.327 0.871 O
0.333 0.667 0.250 V
0.667 0.333 0.750 V
0.667 0.333 0.250 Cr
0.333 0.667 0.750 Cr
```

Results
- Volume: 184 Å³ per cell
- Space-group type: No. 163
- Density of states at the Fermi level: 9.24 states/eV/cell

=====

No. 9
VASP calculation (PBE with a Hubbard U) on crystalline CrSO4 at its relaxed geometry.

Structure (POSCAR):
```
CrSO4
1.0
5.371 0.000 0.000
0.000 5.372 0.000
0.000 0.000 7.702
S O Cr
2 8 2
direct
0.000 0.000 0.500 S
0.000 0.500 0.000 S
0.163 0.673 0.897 O
0.827 0.841 0.606 O
0.173 0.159 0.606 O
0.837 0.327 0.897 O
0.163 0.327 0.103 O
0.173 0.841 0.394 O
0.827 0.159 0.394 O
0.837 0.673 0.103 O
0.000 0.000 0.000 Cr
0.500 0.000 0.500 Cr
```

Results
- Volume: 222 Å³ per cell
- Space-group type: No. 16
- Offset from the most stable computed form: 263.7 meV per atom

=====

No. 10
VASP calculation (PBE with a Hubbard U) on crystalline Cr2SO at its relaxed geometry.

Structure (POSCAR):
```
Cr2SO
1.0
5.956 0.000 0.000
0.000 5.956 0.000
2.978 2.978 3.505
S Cr O
2 4 2
direct
0.000 0.000 0.000 S
0.750 0.250 0.500 S
0.375 0.424 0.750 Cr
0.174 0.625 0.250 Cr
0.576 0.125 0.250 Cr
0.875 0.826 0.750 Cr
0.500 0.500 0.000 O
0.250 0.750 0.500 O
```

Results
- Volume: 124 Å³ per cell
- Space-group type: No. 122
- Offset from the most stable computed form: 0.0 meV per atom
- Density of states at the Fermi level: 0.00 states/eV/cell

=====

No. 11
VASP calculation (PBE with a Hubbard U) on crystalline CrSO4 at its relaxed geometry.

Structure (POSCAR):
```
CrSO4
1.0
5.169 -0.221 0.000
-0.919 5.091 0.000
0.000 0.000 6.486
O Cr S
8 2 2
direct
0.297 0.070 0.250 O
0.930 0.703 0.250 O
0.336 0.664 0.431 O
0.070 0.297 0.750 O
0.664 0.336 0.931 O
0.703 0.930 0.750 O
0.664 0.336 0.569 O
0.336 0.664 0.069 O
0.361 0.639 0.750 Cr
0.639 0.361 0.250 Cr
0.777 0.223 0.750 S
0.223 0.777 0.250 S
```

Results
- Volume: 169 Å³ per cell
- Space-group type: No. 63
- Offset from the most stable computed form: 15.5 meV per atom
- Density of states at the Fermi level: 0.00 states/eV/cell

=====

No. 12
VASP calculation (PBE with a Hubbard U) on crystalline Cr3SO at its relaxed geometry.

Structure (POSCAR):
```
Cr3SO
1.0
-2.544 -3.337 2.097
-1.010 -1.860 -4.186
3.809 -2.721 0.290
O Cr S
1 3 1
direct
0.500 0.500 0.500 O
0.500 0.000 0.000 Cr
0.000 0.500 0.000 Cr
0.000 0.000 0.500 Cr
0.000 0.000 0.000 S
```

Results
- Volume: 103 Å³ per cell
- Space-group type: No. 221
- Offset from the most stable computed form: 0.0 meV per atom
- Density of states at the Fermi level: 2.65 states/eV/cell

=====

No. 13
VASP calculation (PBE with a Hubbard U) on crystalline Cr2SO at its relaxed geometry.

Structure (POSCAR):
```
Cr2SO
1.0
3.562 1.223 1.916
0.181 3.757 1.926
0.167 0.206 4.218
Cr S O
2 1 1
direct
0.750 0.750 0.750 Cr
0.250 0.250 0.250 Cr
0.500 0.500 0.500 S
0.000 0.000 0.000 O
```

Results
- Volume: 53 Å³ per cell
- Space-group type: No. 225
- Offset from the most stable computed form: 540.8 meV per atom
- Density of states at the Fermi level: 0.96 states/eV/cell

=====

No. 14
VASP calculation (PBE with a Hubbard U) on crystalline CrSO4 at its relaxed geometry.

Structure (POSCAR):
```
CrSO4
1.0
-4.133 2.510 0.470
-0.683 -4.799 -0.322
0.470 -0.536 6.999
S O Cr
2 8 2
direct
0.344 0.656 0.250 S
0.656 0.344 0.750 S
0.320 0.222 0.750 O
0.778 0.680 0.750 O
0.680 0.778 0.250 O
0.757 0.243 0.575 O
0.222 0.320 0.250 O
0.757 0.243 0.925 O
0.243 0.757 0.425 O
0.243 0.757 0.075 O
0.000 0.000 0.000 Cr
0.000 0.000 0.500 Cr
```

Results
- Volume: 152 Å³ per cell
- Space-group type: No. 63
- Offset from the most stable computed form: 18.4 meV per atom
- Density of states at the Fermi level: 0.00 states/eV/cell

=====

No. 15
VASP calculation (PBE with a Hubbard U) on crystalline CrS3O at its relaxed geometry.

Structure (POSCAR):
```
CrS3O
1.0
-1.900 2.212 -3.047
-2.178 -3.430 -1.133
-3.072 1.063 2.687
O S Cr
1 3 1
direct
0.000 0.000 0.000 O
0.500 0.000 0.000 S
0.000 0.000 0.500 S
0.000 0.500 0.000 S
0.500 0.500 0.500 Cr
```

Results
- Volume: 75 Å³ per cell
- Space-group type: No. 221
- Offset from the most stable computed form: 0.0 meV per atom
- Density of states at the Fermi level: 3.76 states/eV/cell

=====

No. 16
VASP calculation (PBE with a Hubbard U) on crystalline Cr2SO at its relaxed geometry.

Structure (POSCAR):
```
Cr2SO
1.0
-2.909 -1.707 -0.352
-0.139 -3.294 0.791
-2.419 -0.354 5.373
Cr S O
2 1 1
direct
0.740 0.740 0.779 Cr
0.260 0.260 0.221 Cr
0.500 0.500 0.500 S
0.000 0.000 0.000 O
```

Results
- Volume: 55 Å³ per cell
- Space-group type: No. 166
- Offset from the most stable computed form: 55.5 meV per atom
- Density of states at the Fermi level: 1.71 states/eV/cell

=====

No. 17
VASP calculation (PBE with a Hubbard U) on crystalline CrSO4 at its relaxed geometry.

Structure (POSCAR):
```
CrSO4
1.0
5.041 0.000 0.000
0.000 7.121 0.000
0.000 0.000 8.636
S O Cr
4 16 4
direct
0.545 0.750 0.185 S
0.955 0.750 0.685 S
0.455 0.250 0.815 S
0.045 0.250 0.315 S
0.316 0.423 0.863 O
0.316 0.077 0.863 O
0.230 0.750 0.628 O
0.816 0.923 0.637 O
0.270 0.750 0.128 O
0.684 0.923 0.137 O
0.954 0.750 0.862 O
0.546 0.750 0.362 O
0.816 0.577 0.637 O
0.730 0.250 0.872 O
0.684 0.577 0.137 O
0.184 0.077 0.363 O
0.046 0.250 0.138 O
0.184 0.423 0.363 O
0.770 0.250 0.372 O
0.454 0.250 0.638 O
0.500 0.500 0.500 Cr
0.000 0.500 0.000 Cr
0.000 0.000 0.000 Cr
0.500 0.000 0.500 Cr
```

Results
- Volume: 310 Å³ per cell
- Space-group type: No. 62
- Offset from the most stable computed form: 0.0 meV per atom
- Density of states at the Fermi level: 0.00 states/eV/cell

=====

No. 18
VASP calculation (PBE with a Hubbard U) on crystalline CrS3O at its relaxed geometry.

Structure (POSCAR):
```
CrS3O
1.0
4.362 0.000 0.000
0.000 4.362 0.000
0.000 0.000 4.362
S O Cr
3 1 1
direct
0.500 0.000 0.000 S
0.000 0.000 0.500 S
0.000 0.500 0.000 S
0.500 0.500 0.500 O
0.000 0.000 0.000 Cr
```

Results
- Volume: 83 Å³ per cell
- Space-group type: No. 221
- Offset from the most stable computed form: 75.4 meV per atom
- Density of states at the Fermi level: 6.92 states/eV/cell

=====

No. 19
VASP calculation (PBE with a Hubbard U) on crystalline CrS2O8 at its relaxed geometry.

Structure (POSCAR):
```
CrS2O8
1.0
4.590 -0.066 -0.193
-0.064 7.451 -4.034
-0.214 -1.620 5.910
Cr O S
1 8 2
direct
0.000 0.000 0.000 Cr
0.241 0.015 0.754 O
0.241 0.739 0.754 O
0.759 0.985 0.246 O
0.759 0.261 0.246 O
0.286 0.633 0.265 O
0.694 0.826 0.652 O
0.714 0.367 0.735 O
0.306 0.174 0.348 O
0.369 0.792 0.585 S
0.631 0.208 0.415 S
```

Results
- Volume: 172 Å³ per cell
- Space-group type: No. 12
- Density of states at the Fermi level: 4.44 states/eV/cell

=====

No. 20
VASP calculation (PBE with a Hubbard U) on crystalline CrSO9 at its relaxed geometry.

Structure (POSCAR):
```
CrSO9
1.0
-2.876 -2.475 -3.945
-3.598 -3.459 2.419
-8.688 6.226 0.948
O S Cr
18 2 2
direct
0.259 0.111 0.025 O
0.850 0.067 0.175 O
0.829 0.343 0.930 O
0.134 0.330 0.674 O
0.299 0.554 0.443 O
0.915 0.811 0.553 O
0.085 0.189 0.447 O
0.614 0.540 0.072 O
0.171 0.657 0.070 O
0.150 0.933 0.825 O
0.456 0.949 0.243 O
0.866 0.670 0.326 O
0.671 0.093 0.388 O
0.544 0.051 0.757 O
0.386 0.460 0.928 O
0.741 0.889 0.975 O
0.329 0.907 0.612 O
0.701 0.446 0.557 O
0.295 0.054 0.717 S
0.705 0.946 0.283 S
0.000 0.000 0.000 Cr
0.000 0.500 0.500 Cr
```

Results
- Volume: 303 Å³ per cell
- Space-group type: No. 2
- Density of states at the Fermi level: 8.47 states/eV/cell

=====

No. 21
VASP calculation (PBE with a Hubbard U) on crystalline CrWS2O at its relaxed geometry.

Structure (POSCAR):
```
CrWS2O
1.0
-2.545 3.873 -1.346
-2.460 -2.138 -1.501
-2.422 -0.141 4.171
S W O Cr
2 1 1 1
direct
0.500 0.000 0.000 S
0.000 0.000 0.500 S
0.500 0.500 0.500 W
0.000 0.500 0.000 O
0.000 0.000 0.000 Cr
```

Results
- Volume: 84 Å³ per cell
- Space-group type: No. 123
- Density of states at the Fermi level: 2.34 states/eV/cell

=====

Number 1: VASP energy -149.7 eV per cell. Number 2: VASP energy -119.4 eV per cell. Number 3: VASP energy -30.9 eV per cell. Number 4: VASP energy -94.1 eV per cell. Number 5: VASP energy -72.5 eV per cell. Number 6: VASP energy -79.4 eV per cell. Number 7: VASP energy -151.8 eV per cell. Number 8: VASP energy -134.8 eV per cell. Number 9: VASP energy -78.2 eV per cell. Number 10: VASP energy -55.7 eV per cell. Number 11: VASP energy -81.2 eV per cell. Number 12: VASP energy -29.8 eV per cell. Number 13: VASP energy -25.7 eV per cell. Number 14: VASP energy -81.1 eV per cell. Number 15: VASP energy -19.3 eV per cell. Number 16: VASP energy -27.6 eV per cell. Number 17: VASP energy -162.7 eV per cell. Number 18: VASP energy -18.9 eV per cell. Number 19: VASP energy -69.2 eV per cell. Number 20: VASP energy -113.9 eV per cell. Number 21: VASP energy -28.5 eV per cell.